i.
Here is AcGaGe2 after structural relaxation from the Alexandria database. Energies are from PBE.

Calculated values
**Space-group type**: Cm, No. 8
**Total magnetization**: 0.00 μB per formula unit

The structure in extended XYZ format:
```
4
Lattice="5.550 -2.297 0.000 5.550 2.297 0.000 -1.677 0.000 3.982" Properties=species:S:1:pos:R:3 pbc="T T T"
Ac 0.000 0.000 0.000
Ga 1.563 0.000 3.134
Ge 3.741 0.000 1.675
Ge 6.300 0.000 2.153
```

---

ii.
Here is AcGaGe2 after structural relaxation from the Alexandria database. Energies are from PBE.

Calculated values
**Space-group type**: R-3m, No. 166
**Total magnetization**: 0.00 μB per formula unit

The structure in extended XYZ format:
```
4
Lattice="2.302 1.329 5.364 -2.302 1.329 5.364 0.000 -2.658 5.364" Properties=species:S:1:pos:R:3 pbc="T T T"
Ac 0.000 0.000 0.000
Ga 0.000 0.000 8.046
Ge 0.000 0.000 3.345
Ge 0.000 0.000 12.746
```

---

iii.
Here is AcGaGe2 after structural relaxation from the Alexandria database. Energies are from PBE.

Calculated values
**Space-group type**: P4/mmm, No. 123
**Total magnetization**: 0.00 μB per formula unit

The structure in extended XYZ format:
```
4
Lattice="4.571 0.000 0.000 0.000 4.571 0.000 0.000 0.000 4.633" Properties=species:S:1:pos:R:3 pbc="T T T"
Ac 0.000 0.000 0.000
Ga 2.285 2.285 0.000
Ge 0.000 2.285 2.317
Ge 2.285 0.000 2.317
```

---

iv.
Here is AcGaGe2 after structural relaxation from the Alexandria database. Energies are from PBE.

Calculated values
**Space-group type**: Pnma, No. 62
**Total magnetization**: 0.00 μB per formula unit

The structure in extended XYZ format:
```
16
Lattice="7.217 0.000 0.000 0.000 4.733 0.000 0.000 0.000 11.386" Properties=species:S:1:pos:R:3 pbc="T T T"
Ac 1.270 1.183 1.488
Ac 2.338 3.550 7.181
Ac 4.879 1.183 4.205
Ac 5.946 3.550 9.898
Ga 0.089 3.550 4.224
Ga 3.519 1.183 9.917
Ga 3.697 3.550 1.469
Ga 7.127 1.183 7.162
Ge 0.968 1.183 9.497
Ge 1.397 1.183 4.774
Ge 2.211 3.550 10.467
Ge 2.640 3.550 3.804
Ge 4.576 1.183 7.582
Ge 5.006 1.183 0.919
Ge 5.819 3.550 6.612
Ge 6.249 3.550 1.889
```

---

It is iii that is the least stable of them.

---

i.
Here is Ac3Ga2Ge2 after structural relaxation from the Alexandria database. Energies are from PBE.

Calculated values
**Space-group type**: Immm, No. 71
**Total magnetization**: 0.71 μB per formula unit

The structure in extended XYZ format:
```
7
Lattice="-2.144 2.361 9.830 2.144 -2.361 9.830 2.144 2.361 -9.830" Properties=species:S:1:pos:R:3 pbc="T T T"
Ac 0.000 0.000 0.000
Ac 2.144 0.000 3.613
Ac 0.000 2.361 6.217
Ga 0.000 0.000 8.567
Ga 0.000 0.000 11.093
Ge 2.144 0.000 7.063
Ge 0.000 2.361 2.767
```

---

ii.
Here is Ac3Ga2Ge2 after structural relaxation from the Alexandria database. Energies are from PBE.

Calculated values
**Space-group type**: C2/m, No. 12
**Total magnetization**: 0.00 μB per formula unit

The structure in extended XYZ format:
```
7
Lattice="5.893 -2.231 0.000 5.893 2.231 0.000 -4.079 0.000 7.671" Properties=species:S:1:pos:R:3 pbc="T T T"
Ac 0.000 0.000 0.000
Ac -0.561 0.000 4.812
Ac 8.268 0.000 2.859
Ga 3.321 0.000 0.538
Ga 4.387 0.000 7.132
Ge 2.636 0.000 5.303
Ge 5.071 0.000 2.368
```

---

It is ii that is the least stable of them.